V2PtI8 (GGA-PBE, optimized geometry); density of states at the Fermi level = 6.03 states/eV/cell; total moment = 0.3639 μB/atom; formation energy (no corrections) = -0.259 eV/atom; SG = C2/m, No. 12
1.0
-2.5944 1.1770 8.7906
-4.1387 -5.3231 -5.3656
7.2822 -4.0847 2.6962
I Pt V
8 1 2
Cartesian
-1.6934 -0.7803 7.1752
0.1515 -3.3704 5.3530
2.2425 -7.4504 -1.0541
0.3976 -4.8603 0.7681
-0.2440 -1.4379 2.2639
-3.3345 -4.3932 4.4611
0.7931 -6.7928 3.8572
3.8836 -3.8375 1.6600
0.0000 0.0000 0.0000
-1.1611 -5.7633 5.2860
1.7102 -2.4674 0.8351